Entry 1:
VASP calculation (GGA-PBE) on an optimized crystal structure of AlTlAu2.

Properties
Calculated formation energy in eV/atom: -0.039
Energy in eV/atom: -3.205
Excess energy over the best structure of this formula in the dataset in kJ per mole of atoms: 12.1

Cell: 7.693 7.693 6.201 Å, 51.66 51.66 90.00°
Positions (direct):
Au (0.875, 0.821, 0.750)
Au (0.375, 0.429, 0.750)
Au (0.179, 0.625, 0.250)
Al (0.250, 0.750, 0.500)
Au (0.571, 0.125, 0.250)
Tl (0.750, 0.250, 0.500)
Tl (0.000, 0.000, 0.000)
Al (0.500, 0.500, 0.000)

Entry 2:
VASP calculation (GGA-PBE) on an optimized crystal structure of AlTlAu2.

Properties
Calculated formation energy in eV/atom: 0.033
Energy in eV/atom: -3.133
Excess energy over the best structure of this formula in the dataset in kJ per mole of atoms: 19.1

Cell: 6.785 4.785 3.695 Å, 89.33 58.12 120.33°
Positions (direct):
Al (0.500, 0.500, 0.000)
Tl (0.000, 0.500, 0.500)
Au (0.500, 0.000, 0.500)
Au (0.000, 0.000, 0.000)

Entry 3:
VASP calculation (GGA-PBE) on an optimized crystal structure of Al2TlAu.

Properties
Calculated formation energy in eV/atom: 0.029
Energy in eV/atom: -3.253
Excess energy over the best structure of this formula in the dataset in kJ per mole of atoms: 7.9

Cell: 9.425 9.425 9.425 Å, 19.64 19.64 19.64°
Positions (direct):
Au (0.487, 0.487, 0.487)
Al (0.009, 0.009, 0.009)
Al (0.754, 0.754, 0.754)
Tl (0.250, 0.250, 0.250)

Entry 4:
VASP calculation (GGA-PBE) on an optimized crystal structure of Al2TlAu2.

Properties
Calculated formation energy in eV/atom: -0.148
Energy in eV/atom: -3.429
Excess energy over the best structure of this formula in the dataset in kJ per mole of atoms: 6.9

Cell: 4.476 4.476 6.235 Å, 68.96 68.96 90.00°
Positions (direct):
Au (0.750, 0.250, 0.500)
Al (0.376, 0.376, 0.247)
Al (0.624, 0.624, 0.753)
Au (0.250, 0.750, 0.500)
Tl (0.000, 0.000, 0.000)

Entry 5:
VASP calculation (GGA-PBE) on an optimized crystal structure of AlTl4Au5.

Properties
Calculated formation energy in eV/atom: -0.090
Energy in eV/atom: -3.050

Cell: 5.082 7.227 7.227 Å, 82.90 69.41 69.41°
Positions (direct):
Au (0.785, 0.000, 0.364)
Al (0.151, 0.000, 0.000)
Au (0.149, 0.636, 0.000)
Tl (0.457, 0.691, 0.309)
Au (0.149, 0.000, 0.636)
Au (0.785, 0.364, 0.000)
Au (0.640, 0.000, 0.000)
Tl (0.457, 0.309, 0.691)
Tl (0.149, 0.309, 0.309)
Tl (0.766, 0.691, 0.691)

Entry 6:
VASP calculation (GGA-PBE) on an optimized crystal structure of Al2Tl2Au.

Properties
Calculated formation energy in eV/atom: 0.000
Energy in eV/atom: -3.099

Cell: 6.762 6.762 5.119 Å, 90.00 90.00 90.00°
Positions (direct):
Al (0.358, 0.858, 0.000)
Au (0.500, 0.500, 0.000)
Al (0.642, 0.142, 0.000)
Tl (0.323, 0.177, 0.500)
Al (0.142, 0.358, 0.000)
Au (0.000, 0.000, 0.000)
Tl (0.823, 0.323, 0.500)
Al (0.858, 0.642, 0.000)
Tl (0.177, 0.677, 0.500)
Tl (0.677, 0.823, 0.500)

Entry 7:
VASP calculation (GGA-PBE) on an optimized crystal structure of AlTlAu2.

Properties
Calculated formation energy in eV/atom: -0.137
Energy in eV/atom: -3.303
Excess energy over the best structure of this formula in the dataset in kJ per mole of atoms: 2.7

Cell: 3.724 3.724 7.632 Å, 75.88 75.88 60.00°
Positions (direct):
Al (0.667, 0.667, 0.999)
Au (0.068, 0.068, 0.796)
Tl (0.500, 0.500, 0.501)
Au (0.265, 0.265, 0.204)

Entry 8:
VASP calculation (GGA-PBE) on an optimized crystal structure of AlTlAu2.

Properties
Calculated formation energy in eV/atom: 0.037
Energy in eV/atom: -3.128
Excess energy over the best structure of this formula in the dataset in kJ per mole of atoms: 19.5

Cell: 2.958 5.263 5.263 Å, 90.00 90.00 90.00°
Positions (direct):
Au (0.000, 0.500, 0.500)
Al (0.500, 0.000, 0.500)
Au (0.000, 0.000, 0.000)
Tl (0.500, 0.500, 0.000)

Entry 9:
VASP calculation (GGA-PBE) on an optimized crystal structure of AlTlAu2.

Properties
Calculated formation energy in eV/atom: -0.076
Energy in eV/atom: -3.242
Excess energy over the best structure of this formula in the dataset in kJ per mole of atoms: 8.6

Cell: 4.191 4.191 11.448 Å, 90.01 90.01 90.00°
Positions (direct):
Au (0.250, 0.250, 0.152)
Al (0.750, 0.750, 0.634)
Al (0.250, 0.250, 0.366)
Tl (0.750, 0.750, 0.113)
Au (0.750, 0.250, 0.500)
Au (0.250, 0.750, 0.500)
Au (0.750, 0.750, 0.848)
Tl (0.250, 0.250, 0.887)

Entry 10:
VASP calculation (GGA-PBE) on an optimized crystal structure of AlTlAu3.

Properties
Calculated formation energy in eV/atom: -0.147
Energy in eV/atom: -3.335
Excess energy over the best structure of this formula in the dataset in kJ per mole of atoms: 0.0

Cell: 5.507 6.698 6.698 Å, 120.02 90.00 90.00°
Positions (direct):
Au (0.250, 0.810, 0.619)
Au (0.750, 0.619, 0.810)
Tl (0.750, 0.667, 0.333)
Au (0.250, 0.381, 0.190)
Au (0.750, 0.190, 0.381)
Al (0.000, 0.000, 0.000)
Al (0.500, 0.000, 0.000)
Tl (0.250, 0.333, 0.667)
Au (0.250, 0.810, 0.190)
Au (0.750, 0.190, 0.810)

Entry 11:
VASP calculation (GGA-PBE) on an optimized crystal structure of AlTlAu3.

Properties
Calculated formation energy in eV/atom: 0.718
Energy in eV/atom: -2.470
Excess energy over the best structure of this formula in the dataset in kJ per mole of atoms: 83.5

Cell: 5.320 5.320 5.320 Å, 90.00 90.00 90.00°
Positions (direct):
Au (0.000, 0.500, 0.000)
Au (0.500, 0.000, 0.000)
Tl (0.000, 0.000, 0.000)
Al (0.500, 0.500, 0.500)
Au (0.000, 0.000, 0.500)

Entry 12:
VASP calculation (GGA-PBE) on an optimized crystal structure of Al2TlAu.

Properties
Calculated formation energy in eV/atom: 0.066
Energy in eV/atom: -3.216
Excess energy over the best structure of this formula in the dataset in kJ per mole of atoms: 11.5

Cell: 4.571 4.571 9.198 Å, 75.61 75.61 90.00°
Positions (direct):
Tl (0.000, 0.000, 0.000)
Al (0.563, 0.125, 0.250)
Tl (0.750, 0.250, 0.500)
Al (0.375, 0.437, 0.750)
Al (0.875, 0.813, 0.750)
Al (0.187, 0.625, 0.250)
Au (0.500, 0.500, 0.000)
Au (0.250, 0.750, 0.500)